LiCaTa2O6F | Alexandria via LeMat-Bulk | GGA-PBE | relaxed; total magnetization = 0.00 μB per formula unit; SG = Imma; electronic total energy = -184.04 eV/cell
1.0
7.392 0.000 -0.001
-0.022 7.392 0.001
-3.633 -3.747 5.234
Li Ca Ta O F
2 2 4 12 2
direct
0.000 0.500 0.000
0.000 0.000 0.500
0.000 0.500 0.500
0.500 0.500 0.000
0.000 0.000 0.000
0.500 0.500 0.500
0.500 0.000 0.000
0.500 0.000 0.500
0.818 0.074 0.139
0.815 0.065 0.750
0.818 0.679 0.744
0.435 0.074 0.756
0.565 0.321 0.639
0.574 0.324 0.250
0.435 0.679 0.361
0.426 0.676 0.750
0.565 0.926 0.244
0.182 0.321 0.256
0.182 0.926 0.861
0.185 0.935 0.250
0.119 0.369 0.750
0.881 0.631 0.250



LiCa2PF | Alexandria via LeMat-Bulk | GGA-PBE | relaxed; total magnetization = 0.00 μB per formula unit; SG = P4/mmm; electronic total energy = -20.60 eV/cell
1.0
4.830 0.000 0.000
0.000 4.830 0.000
0.000 0.000 3.927
P Ca Li F
1 2 1 1
direct
0.500 0.500 0.500
0.000 0.500 0.000
0.500 0.000 0.000
0.000 0.000 0.500
0.000 0.000 0.000



Li2CaPF | Alexandria via LeMat-Bulk | GGA-PBE | relaxed; total magnetization = 0.00 μB per formula unit; SG = P4/mmm; electronic total energy = -21.32 eV/cell
1.0
-1.365 -3.493 -1.670
3.841 -0.996 -1.055
0.557 -2.164 4.071
P Ca Li F
1 1 2 1
direct
0.500 0.500 0.500
0.000 0.000 0.500
0.000 0.500 0.000
0.500 0.000 0.000
0.000 0.000 0.000



LiCa2PbF | Alexandria via LeMat-Bulk | GGA-PBE | relaxed; total magnetization = 0.00 μB per formula unit; SG = P4/mmm; electronic total energy = -18.61 eV/cell
1.0
4.957 0.000 0.000
0.000 4.957 0.000
0.000 0.000 4.507
Pb Ca Li F
1 2 1 1
direct
0.500 0.500 0.500
0.000 0.500 0.000
0.500 0.000 0.000
0.000 0.000 0.500
0.000 0.000 0.000